# 1
Below is crystalline CaDy2S3 at its relaxed geometry, with properties calculated at the GGA-PBE level.

a = 6.844 Å, b = 6.844 Å, c = 6.844 Å
α = 146.75°, β = 132.11°, γ = 59.55°
Positions (direct):
Ca1 0.000 0.000 0.000
Dy1 0.335 0.335 0.000
Dy2 0.665 0.665 0.000
S1 0.168 0.668 0.500
S2 0.500 0.000 0.500
S3 0.832 0.332 0.500



# 2
Below is crystalline Li2FeSnH at its relaxed geometry, with properties calculated at the GGA-PBE level.

a = 3.947 Å, b = 3.947 Å, c = 3.990 Å
α = 90.00°, β = 90.00°, γ = 90.00°
Positions (direct):
Li1 0.000 0.500 0.000
Li2 0.500 0.000 0.000
Fe1 0.000 0.000 0.500
Sn1 0.500 0.500 0.500
H1 0.000 0.000 0.000



# 3
Below is crystalline LiLa2TcN at its relaxed geometry, with properties calculated at the GGA-PBE level.

a = 5.274 Å, b = 5.274 Å, c = 3.925 Å
α = 90.00°, β = 90.00°, γ = 90.00°
Positions (direct):
Li1 0.000 0.000 0.000
La1 0.000 0.500 0.500
La2 0.500 0.000 0.500
Tc1 0.500 0.500 0.000
N1 0.500 0.500 0.500



# 4
Below is crystalline BaAgSnHg at its relaxed geometry, with properties calculated at the GGA-PBE level.

Summary:
**Energy of formation**: -7.32 kcal/mol of atoms
**Relative energy among the computed polymorphs**: 0.0538 eV/atom

a = 5.443 Å, b = 5.443 Å, c = 5.443 Å
α = 60.00°, β = 60.00°, γ = 60.00°
Positions (direct):
Ba1 0.000 0.000 0.000
Ag1 0.250 0.250 0.250
Sn1 0.500 0.500 0.500
Hg1 0.750 0.750 0.750



# 5
Below is crystalline Mn2VNi2 at its relaxed geometry, with properties calculated at the GGA-PBE level.

Summary:
**Energy of formation**: 3.73 kcal/mol of atoms

a = 6.864 Å, b = 6.864 Å, c = 2.507 Å
α = 90.00°, β = 90.00°, γ = 90.00°
Positions (direct):
Mn1 0.119 0.381 0.000
Mn2 0.381 0.881 0.000
Mn3 0.619 0.119 0.000
Mn4 0.881 0.619 0.000
V1 0.000 0.000 0.000
V2 0.500 0.500 0.000
Ni1 0.177 0.677 0.500
Ni2 0.323 0.177 0.500
Ni3 0.677 0.823 0.500
Ni4 0.823 0.323 0.500



# 6
Below is crystalline ThCo2Hg at its relaxed geometry, with properties calculated at the GGA-PBE level.

Summary:
**Energy of formation**: -1.56 kcal/mol of atoms

a = 5.038 Å, b = 5.038 Å, c = 5.038 Å
α = 53.70°, β = 53.70°, γ = 53.70°
Positions (direct):
Th1 0.000 0.000 0.000
Co1 0.190 0.190 0.190
Co2 0.810 0.810 0.810
Hg1 0.500 0.500 0.500



# 7
Below is crystalline Be4Pt3 at its relaxed geometry, with properties calculated at the GGA-PBE level.

Summary:
**Energy of formation**: -13.32 kcal/mol of atoms
**Relative energy among the computed polymorphs**: 0.0000 eV/atom

a = 9.749 Å, b = 9.749 Å, c = 9.749 Å
α = 163.00°, β = 163.00°, γ = 24.13°
Positions (direct):
Be1 0.069 0.069 0.000
Be2 0.369 0.369 0.000
Be3 0.631 0.631 0.000
Be4 0.931 0.931 0.000
Pt1 0.193 0.193 0.000
Pt2 0.500 0.500 0.000
Pt3 0.807 0.807 0.000



# 8
Below is crystalline ZnSiTe2I at its relaxed geometry, with properties calculated at the GGA-PBE level.

Summary:
**Relative energy among the computed polymorphs**: 0.0000 eV/atom

a = 5.328 Å, b = 5.328 Å, c = 5.527 Å
α = 90.00°, β = 90.00°, γ = 90.00°
Positions (direct):
Zn1 0.000 0.000 0.000
Si1 0.500 0.500 0.500
Te1 0.000 0.500 0.500
Te2 0.500 0.000 0.500
I1 0.500 0.500 0.000



Magnetization for every record listed, in sequence, given in μB per formula unit: 0.00; 2.59; 0.00; 0.00; 2.48; 0.00; 0.00; 0.00.
D(E_F) for every record listed, in sequence, given in states/eV per atom: 0.331; 0.293; 0.553; 0.537; 1.276; 0.782; 0.368; 0.908.
E for every record listed, in sequence, given in eV per atom: -5.9636; -4.0453; -6.5772; -2.5871; -7.6424; -5.5512; -5.2958; -2.4791.